# 1
A geometry-optimized Ba3HgCl2F6 structure. Source: Alexandria, functional PBE.

The structure in CIF format:
```
data_Ba3HgCl2F6
_symmetry_space_group_name_H-M 'C 1 2/m 1'
_symmetry_Int_Tables_number 12
_cell_length_a 14.538
_cell_length_b 8.101
_cell_length_c 5.152
_cell_angle_alpha 90.00
_cell_angle_beta 97.08
_cell_angle_gamma 90.00
loop_
_symmetry_equiv_pos_as_xyz
'x,y,z'
'-x,-y,-z'
'-x,y,-z'
'x,-y,z'
'x+1/2,y+1/2,z'
'-x+1/2,-y+1/2,-z'
'-x+1/2,y+1/2,-z'
'x+1/2,-y+1/2,z'
loop_
_atom_site_label
_atom_site_fract_x
_atom_site_fract_y
_atom_site_fract_z
Ba1 0.000 0.000 0.000
Ba2 0.250 0.250 0.500
Hg1 0.000 0.500 0.500
Cl1 0.208 0.000 0.924
F1 0.075 0.233 0.311
F2 0.145 0.500 0.632
```

As for the raw total energy: -4.543 eV/atom. The value obtained for the density of states at the Fermi level is 0.00 states/eV/cell. Its magnetic moment is 0.00 μB per formula unit. For the calculated density, the calculation gives 4.4 g cm⁻³. The uncorrected formation energy comes out at -2.794 eV per atom.

***

# 2
A geometry-optimized BaInClF2 structure. Source: Alexandria, functional PBE.

The structure in CIF format:
```
data_BaInClF2
_symmetry_space_group_name_H-M 'P 1 21/m 1'
_symmetry_Int_Tables_number 11
_cell_length_a 7.379
_cell_length_b 4.466
_cell_length_c 7.782
_cell_angle_alpha 90.00
_cell_angle_beta 115.91
_cell_angle_gamma 90.00
loop_
_symmetry_equiv_pos_as_xyz
'x,y,z'
'-x,-y,-z'
'-x,y+1/2,-z'
'x,-y+1/2,z'
loop_
_atom_site_label
_atom_site_fract_x
_atom_site_fract_y
_atom_site_fract_z
Ba1 0.079 0.250 0.281
In1 0.478 0.250 0.848
Cl1 0.405 0.750 0.600
F1 0.105 0.250 0.665
F2 0.150 0.750 0.103
```

As for the raw total energy: -4.616 eV/atom. The value obtained for the density of states at the Fermi level is 0.00 states/eV/cell. Its magnetic moment is 0.00 μB per formula unit. For the calculated density, the calculation gives 4.7 g cm⁻³. The uncorrected formation energy comes out at -2.566 eV per atom.

***

# 3
A geometry-optimized BaIrClF2 structure. Source: Alexandria, functional PBE.

The structure in CIF format:
```
data_BaIrClF2
_symmetry_space_group_name_H-M 'P 4/m m m'
_symmetry_Int_Tables_number 123
_symmetry_space_group_name_Hall '-P 4 2'
_cell_length_a 4.606
_cell_length_b 4.606
_cell_length_c 4.687
_cell_angle_alpha 90.00
_cell_angle_beta 90.00
_cell_angle_gamma 90.00
loop_
_atom_site_label
_atom_site_fract_x
_atom_site_fract_y
_atom_site_fract_z
Ba1 0.000 0.000 0.000
Ir1 0.500 0.500 0.500
Cl1 0.500 0.500 0.000
F1 0.000 0.500 0.500
```

As for the raw total energy: -4.664 eV/atom. The value obtained for the density of states at the Fermi level is 1.58 states/eV/cell. Its magnetic moment is 0.00 μB per formula unit. For the calculated density, the calculation gives 6.7 g cm⁻³. The uncorrected formation energy comes out at -1.389 eV per atom.

***

# 4
A geometry-optimized KBaCl2F structure. Source: Alexandria, functional PBE.

The structure in CIF format:
```
data_KBaCl2F
_symmetry_space_group_name_H-M 'P 4/m m m'
_symmetry_Int_Tables_number 123
_symmetry_space_group_name_Hall '-P 4 2'
_cell_length_a 6.082
_cell_length_b 6.082
_cell_length_c 4.967
_cell_angle_alpha 90.00
_cell_angle_beta 90.00
_cell_angle_gamma 90.00
loop_
_atom_site_label
_atom_site_fract_x
_atom_site_fract_y
_atom_site_fract_z
K1 0.000 0.000 0.000
Ba1 0.500 0.500 0.500
Cl1 0.000 0.500 0.500
F1 0.500 0.500 0.000
```

As for the raw total energy: -4.242 eV/atom. The value obtained for the density of states at the Fermi level is 0.00 states/eV/cell. Its magnetic moment is 0.00 μB per formula unit. For the calculated density, the calculation gives 2.4 g cm⁻³. The uncorrected formation energy comes out at -2.525 eV per atom.

***

- raw total energy of number 4 (KBaCl2F)?
  -4.242 eV/atom